Computed, not measured: a relaxed Tl2Pd2Cl7 crystal at the PBE level of DFT.

Properties
ΔE_f (raw) = -486 meV/atom
Calculated density = 3.93 g cm⁻³

Cell and atoms, written as POSCAR:
```
Tl2Pd2Cl7
1.0
7.8329 0.2578 0.3720
-0.5791 7.1408 -0.2260
-0.5791 -2.7192 6.6067
Cl Pd Tl
7 2 2
direct
0.0000 0.0000 0.0000 Cl
0.3030 0.6625 0.9592 Cl
0.8070 0.5659 0.5659 Cl
0.1930 0.4341 0.4341 Cl
0.3030 0.9592 0.6625 Cl
0.6970 0.0408 0.3375 Cl
0.6970 0.3375 0.0408 Cl
0.8967 0.2777 0.2777 Pd
0.1033 0.7223 0.7223 Pd
0.5000 0.3079 0.6921 Tl
0.5000 0.6921 0.3079 Tl
```